This record from the Alexandria database describes a geometry-optimized Ca2Ce2Ru3 structure. The functional is PBE.

a b c (Å): 3.742 6.345 7.563
angles (deg): 91.78 102.50 92.99
Space group P-1 (No. 2)
Symmetry-distinct sites (fractional):
Ca 0.096 0.308 0.174 x2
Ce 0.397 0.163 0.688 x2
Ru 0.258 0.658 0.484 x2
Ru 0.500 0.000 0.000 x1

calculated formation energy: -12.7 kJ/mol of atoms
electronic total energy: -44.6 eV for the cell shown